# Al2Ag2SeS3 | the Open Quantum Materials Database | PBE | relaxed
data_Al2Ag2SeS3
_symmetry_space_group_name_H-M 'P 1'
_symmetry_Int_Tables_number 1
_cell_length_a 6.6755
_cell_length_b 6.6755
_cell_length_c 5.8491
_cell_angle_alpha 115.15
_cell_angle_beta 115.15
_cell_angle_gamma 51.40
loop_
_symmetry_equiv_pos_as_xyz
'x,y,z'
loop_
_atom_site_label
_atom_site_type_symbol
_atom_site_fract_x
_atom_site_fract_y
_atom_site_fract_z
Al1 Al 0.1280 0.1280 0.3836
Al2 Al 0.8720 0.8720 0.6164
Ag1 Ag 0.3886 0.3491 0.1286
Ag2 Ag 0.6509 0.6114 0.8714
Se1 Se 0.2216 0.7784 0.0000
S1 S 0.0023 0.4982 0.2965
S2 S 0.5018 0.9977 0.7035
S3 S 0.7967 0.2033 0.5000
# - E_tot: -4.3507 eV per atom
# - Space group: C2

***

# AlAgSeS | the Open Quantum Materials Database | PBE | relaxed
data_AlAgSeS
_symmetry_space_group_name_H-M 'P 1'
_symmetry_Int_Tables_number 1
_cell_length_a 5.8995
_cell_length_b 5.8995
_cell_length_c 6.7435
_cell_angle_alpha 115.21
_cell_angle_beta 115.21
_cell_angle_gamma 89.99
loop_
_symmetry_equiv_pos_as_xyz
'x,y,z'
loop_
_atom_site_label
_atom_site_type_symbol
_atom_site_fract_x
_atom_site_fract_y
_atom_site_fract_z
Al1 Al 0.1185 0.8815 0.5000
Al2 Al 0.8815 0.1185 0.0000
Ag1 Ag 0.3845 0.6526 0.9996
Ag2 Ag 0.6526 0.3845 0.4996
Se1 Se 0.2190 0.5033 0.2494
Se2 Se 0.5033 0.2190 0.7494
S1 S 0.0034 0.7993 0.7502
S2 S 0.7993 0.0034 0.2502
# - E_tot: -4.2355 eV per atom
# - Space group: Cc

***

# AlAgTeS | the Open Quantum Materials Database | PBE | relaxed
data_AlAgTeS
_symmetry_space_group_name_H-M 'P 1'
_symmetry_Int_Tables_number 1
_cell_length_a 7.0766
_cell_length_b 7.0766
_cell_length_c 7.0766
_cell_angle_alpha 130.29
_cell_angle_beta 127.10
_cell_angle_gamma 75.53
loop_
_symmetry_equiv_pos_as_xyz
'x,y,z'
loop_
_atom_site_label
_atom_site_type_symbol
_atom_site_fract_x
_atom_site_fract_y
_atom_site_fract_z
Al1 Al 0.1394 0.3894 0.7500
Al2 Al 0.3606 0.1106 0.2500
Ag1 Ag 0.6511 0.9011 0.7500
Ag2 Ag 0.8489 0.5989 0.2500
Te1 Te 0.2500 0.4864 0.2364
Te2 Te 0.7500 0.0136 0.2636
S1 S 0.0547 0.7500 0.8047
S2 S 0.4453 0.2500 0.6953
# - E_tot: -3.9835 eV per atom
# - Space group: I2_12_12_1
# - Relative energy among the computed polymorphs: 7 meV per atom

***

# Al2Ag2TeS3 | the Open Quantum Materials Database | PBE | relaxed
data_Al2Ag2TeS3
_symmetry_space_group_name_H-M 'P 1'
_symmetry_Int_Tables_number 1
_cell_length_a 6.7449
_cell_length_b 6.7449
_cell_length_c 6.0205
_cell_angle_alpha 114.40
_cell_angle_beta 114.40
_cell_angle_gamma 51.53
loop_
_symmetry_equiv_pos_as_xyz
'x,y,z'
loop_
_atom_site_label
_atom_site_type_symbol
_atom_site_fract_x
_atom_site_fract_y
_atom_site_fract_z
Al1 Al 0.1325 0.1325 0.3975
Al2 Al 0.8675 0.8675 0.6025
Ag1 Ag 0.4065 0.3191 0.1324
Ag2 Ag 0.6809 0.5935 0.8676
Te1 Te 0.2435 0.7565 0.0000
S1 S 0.0075 0.4931 0.2985
S2 S 0.5069 0.9925 0.7015
S3 S 0.8019 0.1981 0.5000
# - E_tot: -4.2189 eV per atom
# - Space group: C2